(1)
First-principles (GGA-PBE) data for a relaxed structure of Ba4Ta3GaO12, as listed in the Alexandria database.

- density of states at the Fermi level (states/eV/f.u.) = 7.0
- volume (A^3/atom) = 13.9
- size of the total moment (μB per formula unit) = 0.00

a = 7.117 Å, b = 7.117 Å, c = 7.117 Å
α = 109.47°, β = 109.47°, γ = 109.47°
Fractional coordinates of all 20 atoms:
O1 0.250 0.500 0.750
O2 0.750 0.500 0.250
O3 0.500 0.250 0.750
O4 0.500 0.750 0.250
O5 0.000 0.748 0.748
O6 0.748 0.748 0.000
O7 0.748 0.000 0.748
O8 0.250 0.750 0.500
O9 0.252 0.000 0.252
O10 0.750 0.250 0.500
O11 0.000 0.252 0.252
O12 0.252 0.252 0.000
Ta1 0.500 0.500 0.000
Ta2 0.000 0.500 0.500
Ta3 0.500 0.000 0.500
Ga1 0.000 0.000 0.000
Ba1 0.500 0.000 0.000
Ba2 0.000 0.500 0.000
Ba3 0.500 0.500 0.500
Ba4 0.000 0.000 0.500

(2)
First-principles (GGA-PBE) data for a relaxed structure of BaTaGaO5, as listed in the Alexandria database.

- density of states at the Fermi level (states/eV/f.u.) = 0.0
- volume (A^3/atom) = 15.0
- size of the total moment (μB per formula unit) = 0.00

a = 5.984 Å, b = 5.984 Å, c = 7.659 Å
α = 104.47°, β = 104.47°, γ = 105.99°
Fractional coordinates of all 16 atoms:
O1 0.716 0.111 0.402
O2 0.774 0.643 0.403
O3 0.226 0.357 0.597
O4 0.889 0.284 0.098
O5 0.357 0.226 0.097
O6 0.052 0.948 0.250
O7 0.643 0.774 0.903
O8 0.284 0.889 0.598
O9 0.948 0.052 0.750
O10 0.111 0.716 0.902
Ba1 0.670 0.330 0.750
Ba2 0.330 0.670 0.250
Ta1 0.000 0.000 0.500
Ta2 0.000 0.000 0.000
Ga1 0.689 0.311 0.250
Ga2 0.311 0.689 0.750

(3)
First-principles (GGA-PBE) data for a relaxed structure of Ba2TaGaO6, as listed in the Alexandria database.

- density of states at the Fermi level (states/eV/f.u.) = 0.0
- volume (A^3/atom) = 14.3
- size of the total moment (μB per formula unit) = 0.00

a = 5.868 Å, b = 5.868 Å, c = 10.182 Å
α = 73.25°, β = 73.25°, γ = 60.00°
Fractional coordinates of all 20 atoms:
O1 0.611 0.611 0.629
O2 0.203 0.203 0.881
O3 0.148 0.611 0.629
O4 0.852 0.389 0.371
O5 0.797 0.797 0.119
O6 0.611 0.148 0.629
O7 0.797 0.286 0.119
O8 0.203 0.714 0.881
O9 0.286 0.797 0.119
O10 0.389 0.852 0.371
O11 0.714 0.203 0.881
O12 0.389 0.389 0.371
Ba1 0.718 0.718 0.846
Ba2 0.282 0.282 0.154
Ba3 0.871 0.871 0.386
Ba4 0.129 0.129 0.614
Ta1 0.500 0.500 0.500
Ta2 0.000 0.000 0.000
Ga1 0.595 0.595 0.215
Ga2 0.405 0.405 0.785

(4)
First-principles (GGA-PBE) data for a relaxed structure of BaTb4Ga3O12, as listed in the Alexandria database.

- density of states at the Fermi level (states/eV/f.u.) = 11.0
- volume (A^3/atom) = 14.1
- size of the total moment (μB per formula unit) = 1.11

a = 7.156 Å, b = 7.156 Å, c = 7.156 Å
α = 109.47°, β = 109.47°, γ = 109.47°
Each line ends with the local moment (μB).
Fractional coordinates of all 20 atoms:
Tb1 0.000 0.500 0.000  -0.01
Tb2 0.500 0.000 0.000  -0.01
Tb3 0.000 0.000 0.500  -0.01
Tb4 0.500 0.500 0.500  -0.01
O1 0.157 0.484 0.327  0.08
O2 0.830 0.673 0.157  0.08
O3 0.843 0.170 0.327  0.08
O4 0.327 0.843 0.170  0.08
O5 0.843 0.516 0.673  0.08
O6 0.673 0.843 0.516  0.08
O7 0.516 0.673 0.843  0.08
O8 0.170 0.327 0.843  0.08
O9 0.673 0.157 0.830  0.08
O10 0.327 0.157 0.484  0.08
O11 0.157 0.830 0.673  0.08
O12 0.484 0.327 0.157  0.08
Ba1 0.000 0.000 0.000  0.00
Ga1 0.000 0.500 0.500  -0.01
Ga2 0.500 0.000 0.500  -0.01
Ga3 0.500 0.500 0.000  -0.01

(5)
First-principles (GGA-PBE) data for a relaxed structure of Ba6Tb2Ga4O15, as listed in the Alexandria database.

- density of states at the Fermi level (states/eV/f.u.) = 0.0
- volume (A^3/atom) = 16.9
- size of the total moment (μB per formula unit) = 0.00

a = 6.053 Å, b = 8.063 Å, c = 18.718 Å
α = 91.18°, β = 90.00°, γ = 90.00°
Fractional coordinates of all 54 atoms:
Ga1 0.225 0.770 0.233
Ga2 0.745 0.245 0.058
Ga3 0.255 0.245 0.558
Ga4 0.225 0.230 0.267
Ga5 0.775 0.770 0.733
Ga6 0.255 0.755 0.942
Ga7 0.775 0.230 0.767
Ga8 0.745 0.755 0.442
Ba1 0.755 0.500 0.579
Ba2 0.755 0.500 0.921
Ba3 0.248 0.027 0.091
Ba4 0.331 0.500 0.750
Ba5 0.276 0.000 0.750
Ba6 0.752 0.973 0.909
Ba7 0.245 0.500 0.421
Ba8 0.245 0.500 0.079
Ba9 0.752 0.027 0.591
Ba10 0.724 0.000 0.250
Ba11 0.669 0.500 0.250
Ba12 0.248 0.973 0.409
Tb1 0.748 0.753 0.090
Tb2 0.252 0.247 0.910
Tb3 0.748 0.247 0.410
Tb4 0.252 0.753 0.590
O1 0.804 0.000 0.750
O2 0.767 0.048 0.109
O3 0.242 0.533 0.910
O4 0.333 0.689 0.317
O5 0.483 0.765 0.496
O6 0.020 0.768 0.009
O7 0.233 0.048 0.609
O8 0.980 0.232 0.991
O9 0.767 0.952 0.391
O10 0.953 0.276 0.308
O11 0.446 0.752 0.162
O12 0.047 0.276 0.808
O13 0.333 0.311 0.183
O14 0.980 0.768 0.509
O15 0.667 0.311 0.683
O16 0.758 0.467 0.090
O17 0.446 0.248 0.338
O18 0.554 0.248 0.838
O19 0.483 0.235 0.004
O20 0.758 0.533 0.410
O21 0.517 0.765 0.996
O22 0.953 0.724 0.192
O23 0.020 0.232 0.491
O24 0.554 0.752 0.662
O25 0.196 0.000 0.250
O26 0.517 0.235 0.504
O27 0.233 0.952 0.891
O28 0.667 0.689 0.817
O29 0.242 0.467 0.590
O30 0.047 0.724 0.692

(6)
First-principles (GGA-PBE) data for a relaxed structure of Ba2GaTcO, as listed in the Alexandria database.

- density of states at the Fermi level (states/eV/f.u.) = 5.6
- volume (A^3/atom) = 30.5
- size of the total moment (μB per formula unit) = 2.12

a = 6.317 Å, b = 3.828 Å, c = 6.317 Å
α = 90.00°, β = 90.00°, γ = 90.00°
Each line ends with the local moment (μB).
Fractional coordinates of all 5 atoms:
Tc1 0.500 0.500 0.500  2.31
Ba1 0.000 0.000 0.500  -0.09
Ba2 0.500 0.000 0.000  -0.09
O1 0.000 0.500 0.000  -0.02
Ga1 0.000 0.000 0.000  0.00

(7)
First-principles (GGA-PBE) data for a relaxed structure of BaGa2TcO8, as listed in the Alexandria database.

- density of states at the Fermi level (states/eV/f.u.) = 2.3
- volume (A^3/atom) = 13.6
- size of the total moment (μB per formula unit) = 1.02

a = 4.648 Å, b = 4.721 Å, c = 7.447 Å
α = 85.52°, β = 90.29°, γ = 89.62°
Each line ends with the local moment (μB).
Fractional coordinates of all 12 atoms:
O1 0.790 0.176 0.172  -0.01
O2 0.708 0.697 0.998  0.01
O3 0.802 0.216 0.796  0.06
O4 0.210 0.824 0.828  -0.01
O5 0.292 0.303 0.002  0.01
O6 0.553 0.396 0.437  0.01
O7 0.198 0.784 0.204  0.06
O8 0.447 0.604 0.563  0.01
Ga1 0.514 0.497 0.816  0.01
Ga2 0.486 0.503 0.184  0.01
Tc1 0.000 0.000 0.000  0.78
Ba1 0.000 0.000 0.500  0.00

(8)
First-principles (GGA-PBE) data for a relaxed structure of Ba2GaTcO6, as listed in the Alexandria database.

- density of states at the Fermi level (states/eV/f.u.) = 4.7
- volume (A^3/atom) = 13.3
- size of the total moment (μB per formula unit) = 2.00

a = 5.727 Å, b = 5.727 Å, c = 5.729 Å
α = 120.00°, β = 120.00°, γ = 89.98°
Each line ends with the local moment (μB).
Fractional coordinates of all 10 atoms:
O1 0.248 0.248 0.000  0.05
O2 0.752 0.753 0.000  0.05
O3 0.752 0.248 0.000  0.05
O4 0.248 0.248 0.496  0.05
O5 0.248 0.753 0.000  0.05
O6 0.752 0.753 0.504  0.05
Ga1 0.500 0.500 0.000  0.00
Ba1 0.250 0.750 0.500  0.01
Ba2 0.750 0.250 0.500  0.01
Tc1 0.000 0.000 0.000  1.48

(9)
First-principles (GGA-PBE) data for a relaxed structure of Ba2GaTeO6, as listed in the Alexandria database.

- density of states at the Fermi level (states/eV/f.u.) = 0.9
- volume (A^3/atom) = 14.2
- size of the total moment (μB per formula unit) = 0.00

a = 5.843 Å, b = 5.843 Å, c = 8.292 Å
α = 90.00°, β = 90.00°, γ = 90.00°
Fractional coordinates of all 20 atoms:
O1 0.000 0.750 0.750
O2 0.500 0.250 0.250
O3 0.500 0.250 0.750
O4 0.250 0.500 0.000
O5 0.250 0.001 0.000
O6 0.750 0.500 0.500
O7 0.750 0.500 0.000
O8 0.000 0.750 0.250
O9 0.750 0.999 0.500
O10 0.750 0.001 0.000
O11 0.250 0.500 0.500
O12 0.250 0.999 0.500
Ba1 0.000 0.250 0.250
Ba2 0.500 0.750 0.750
Ba3 0.000 0.250 0.750
Ba4 0.500 0.750 0.250
Te1 0.000 0.750 0.000
Te2 0.500 0.250 0.500
Ga1 0.500 0.250 0.000
Ga2 0.000 0.750 0.500

(10)
First-principles (GGA-PBE) data for a relaxed structure of BaGaTeO5, as listed in the Alexandria database.

- density of states at the Fermi level (states/eV/f.u.) = 0.5
- volume (A^3/atom) = 15.6
- size of the total moment (μB per formula unit) = 0.00

a = 6.061 Å, b = 6.061 Å, c = 7.767 Å
α = 104.29°, β = 104.29°, γ = 106.59°
Fractional coordinates of all 16 atoms:
Te1 0.000 0.000 0.000
Te2 0.000 0.000 0.500
O1 0.632 0.767 0.911
O2 0.767 0.632 0.411
O3 0.292 0.890 0.598
O4 0.708 0.110 0.402
O5 0.056 0.944 0.250
O6 0.233 0.368 0.589
O7 0.110 0.708 0.902
O8 0.890 0.292 0.098
O9 0.944 0.056 0.750
O10 0.368 0.233 0.089
Ba1 0.665 0.335 0.750
Ba2 0.335 0.665 0.250
Ga1 0.308 0.692 0.750
Ga2 0.692 0.308 0.250

(11)
First-principles (GGA-PBE) data for a relaxed structure of BaGaTeO6, as listed in the Alexandria database.

- density of states at the Fermi level (states/eV/f.u.) = 6.3
- volume (A^3/atom) = 15.7
- size of the total moment (μB per formula unit) = 1.08

a = 5.294 Å, b = 5.294 Å, c = 11.620 Å
α = 90.00°, β = 90.00°, γ = 120.00°
Each line ends with the local moment (μB).
Fractional coordinates of all 18 atoms:
O1 0.393 0.384 0.846  0.15
O2 0.616 0.607 0.654  0.15
O3 0.607 0.616 0.154  0.15
O4 0.607 0.991 0.346  0.15
O5 0.009 0.393 0.154  0.15
O6 0.393 0.009 0.654  0.15
O7 0.384 0.991 0.154  0.15
O8 0.991 0.607 0.846  0.15
O9 0.009 0.616 0.346  0.15
O10 0.616 0.009 0.846  0.15
O11 0.991 0.384 0.654  0.15
O12 0.384 0.393 0.346  0.15
Ba1 0.000 0.000 0.000  0.01
Ba2 0.000 0.000 0.500  0.01
Ga1 0.667 0.333 0.250  0.01
Ga2 0.333 0.667 0.750  0.01
Te1 0.333 0.667 0.250  -0.02
Te2 0.667 0.333 0.750  -0.02

(12)
First-principles (GGA-PBE) data for a relaxed structure of BaGaTe2O8, as listed in the Alexandria database.

- density of states at the Fermi level (states/eV/f.u.) = 2.4
- volume (A^3/atom) = 15.6
- size of the total moment (μB per formula unit) = 0.00

a = 4.819 Å, b = 4.828 Å, c = 8.122 Å
α = 91.37°, β = 91.03°, γ = 82.17°
Fractional coordinates of all 12 atoms:
O1 0.305 0.303 0.997
O2 0.655 0.664 0.397
O3 0.809 0.203 0.190
O4 0.198 0.809 0.189
O5 0.345 0.336 0.603
O6 0.802 0.191 0.811
O7 0.695 0.697 0.003
O8 0.191 0.797 0.810
Te1 0.539 0.541 0.192
Te2 0.461 0.459 0.808
Ga1 0.000 0.000 0.000
Ba1 0.000 0.000 0.500

The calculation returns the following raw formation energy values, one per record and in order: -2.75 -2.65 -2.67 -2.56 -2.60 0.38 -1.56 -2.09 -1.98 -1.75 -1.61 -1.32 eV/atom.
The calculation returns the following total DFT energy (no corrections) values, one per record and in order: -8.038 -7.849 -7.519 -7.014 -6.578 -4.061 -6.390 -6.794 -5.954 -5.857 -5.816 -5.566 eV per atom.